Run w
TaTe2Cl PBEsol optimized geometry; symmetry = Pmmm, No. 47
1.0
3.416 0.000 0.000
0.000 4.972 0.000
0.000 0.000 4.985
Ta Te Cl
1 2 1
direct
0.000 0.500 0.500
0.500 0.500 0.000
0.000 0.000 0.000
0.500 0.000 0.500

---

Run x
TaTe2Cl PBEsol optimized geometry; symmetry = Immm, No. 71
1.0
3.191 0.000 0.000
0.000 4.851 0.000
-1.596 -2.425 6.967
Te Cl Ta
2 1 1
direct
0.661 0.661 0.322
0.339 0.339 0.678
0.500 0.000 0.000
0.000 0.500 0.000

---

Energy above the most stable structure, in kJ/mol of atoms: run w 52.2; run x 0.0

---

Run w
TaTeCl2 PBEsol optimized geometry; symmetry = P4mm, No. 99
1.0
-2.439 1.954 0.498
-1.138 -0.688 -2.871
-4.269 -6.133 3.162
Cl Ta Te
2 1 1
direct
0.000 0.000 0.995
0.500 0.500 0.303
0.000 0.000 0.487
0.500 0.500 0.715

---

Run x
TaTeCl2 PBEsol optimized geometry; symmetry = P4/mmm, No. 123
1.0
3.122 0.000 0.000
0.000 4.969 0.000
0.000 0.000 4.969
Te Ta Cl
1 1 2
direct
0.500 0.000 0.000
0.500 0.500 0.500
0.000 0.500 0.000
0.000 0.000 0.500

---

Run y
TaTeCl2 PBEsol optimized geometry; symmetry = R-3m, No. 166
1.0
-0.780 2.798 1.125
-1.723 0.213 2.586
7.977 1.102 7.101
Cl Te Ta
2 1 1
direct
0.778 0.778 0.667
0.222 0.222 0.333
0.000 0.000 0.000
0.500 0.500 0.500

---

Run z
TaTeCl2 PBEsol optimized geometry; symmetry = P4/mmm, No. 123
1.0
-0.955 2.835 0.350
-0.944 0.035 -2.860
-8.417 -3.174 2.739
Ta Cl Te
1 2 1
direct
0.500 0.500 0.000
0.000 0.000 0.840
0.000 0.000 0.160
0.500 0.500 0.500

---

Energy above the most stable structure, in kJ/mol of atoms: run w 33.1; run x 117.3; run y 0.0; run z 20.5

---

Run w
Ta2TeCl PBEsol optimized geometry; symmetry = C2/m, No. 12
1.0
-0.865 1.183 -2.562
3.508 -3.855 -1.699
-4.664 -2.248 1.802
Ta Cl Te
2 1 1
direct
0.000 0.000 0.500
0.000 0.500 0.000
0.000 0.500 0.500
0.000 0.000 0.000

---

Run x
Ta2TeCl PBEsol optimized geometry; symmetry = Pmm2, No. 25
1.0
2.910 0.000 0.000
0.000 4.309 0.000
0.000 0.000 6.062
Te Ta Cl
1 2 1
direct
0.000 0.000 0.474
0.000 0.000 0.973
0.500 0.500 0.224
0.500 0.500 0.830

---

Energy above the most stable structure, in kJ/mol of atoms: run w 33.3; run x 0.0

---

Run w
Ta2TeCl PBEsol optimized geometry; symmetry = F-43m, No. 216
1.0
-0.292 4.494 1.584
-2.363 3.278 -2.542
-4.167 1.705 1.589
Te Cl Ta
1 1 2
direct
0.750 0.750 0.750
0.500 0.500 0.500
0.250 0.250 0.250
0.000 0.000 0.000

---

Run x
Ta2TeCl PBEsol optimized geometry; symmetry = Cmmm, No. 65
1.0
-2.415 -0.930 -1.611
0.603 -1.409 2.793
-5.124 6.077 4.172
Ta Te Cl
2 1 1
direct
0.000 0.000 0.242
0.000 0.000 0.758
0.500 0.000 0.500
0.500 0.000 0.000

---

Run y
Ta2TeCl PBEsol optimized geometry; symmetry = Cm, No. 8
1.0
3.336 0.000 0.000
-1.668 4.434 -0.015
0.000 -1.301 5.103
Te Cl Ta
1 1 2
direct
0.505 0.009 0.525
0.731 0.462 0.119
0.261 0.522 0.777
0.003 0.006 0.079

---

Energy above the most stable structure, in kJ/mol of atoms: run w 50.6; run x 34.0; run y 0.0

---

Run w
Ta2TlCl PBEsol optimized geometry; symmetry = Fm-3m, No. 225
1.0
4.649 0.000 0.000
2.324 4.026 0.000
2.324 1.342 3.796
Cl Tl Ta
1 1 2
direct
0.000 0.000 0.000
0.500 0.500 0.500
0.750 0.750 0.750
0.250 0.250 0.250

---

Run x
Ta2TlCl PBEsol optimized geometry; symmetry = I-4m2, No. 119
1.0
4.150 0.000 0.000
0.000 4.150 0.000
-2.075 -2.075 4.378
Tl Cl Ta
1 1 2
direct
0.500 0.500 0.000
0.250 0.750 0.500
0.000 0.000 0.000
0.750 0.250 0.500

---

Run y
Ta2TlCl PBEsol optimized geometry; symmetry = C2/m, No. 12
1.0
3.129 -0.001 0.000
-0.327 4.838 0.000
-1.401 -2.418 5.212
Tl Cl Ta
1 1 2
direct
0.000 0.000 0.000
0.500 0.500 0.000
0.000 0.000 0.500
0.500 0.500 0.500

---

Energy above the most stable structure, in kJ/mol of atoms: run w 2.5; run x 20.5; run y 0.0

---

Run w
Ta2WCl PBEsol optimized geometry; symmetry = Pmmm, No. 47
1.0
3.134 0.000 0.000
0.000 3.206 0.000
0.000 0.000 7.349
Ta W Cl
2 1 1
direct
0.000 0.500 0.207
0.000 0.500 0.793
0.500 0.000 0.000
0.500 0.500 0.500

---

Run x
Ta2WCl PBEsol optimized geometry; symmetry = Immm, No. 71
1.0
3.315 0.000 0.000
0.000 4.976 0.000
-1.658 -2.488 4.010
Ta Cl W
2 1 1
direct
0.229 0.229 0.458
0.771 0.771 0.542
0.500 0.000 0.000
0.000 0.500 0.000

---

Energy above the most stable structure, in kJ/mol of atoms: run w 0.0; run x 55.7

---

Run w
Ta2WCl PBEsol optimized geometry; symmetry = C2/m, No. 12
1.0
3.020 0.000 0.000
1.510 3.971 0.007
1.510 0.059 6.949
Cl W Ta
1 1 2
direct
0.500 0.000 0.000
0.000 0.500 0.500
0.186 0.939 0.688
0.814 0.061 0.312

---

Run x
Ta2WCl PBEsol optimized geometry; symmetry = P4/mmm, No. 123
1.0
-1.909 -2.105 -1.269
2.458 -1.645 -0.968
-0.039 -3.781 6.329
Ta W Cl
2 1 1
direct
0.000 0.000 0.787
0.000 0.000 0.213
0.500 0.500 0.000
0.500 0.500 0.500

---

Energy above the most stable structure, in kJ/mol of atoms: run w 14.5; run x 0.0

---

Run w
Ta2WCl PBEsol optimized geometry; symmetry = Cmmm, No. 65
1.0
-0.320 1.127 2.662
0.343 -2.888 -0.022
8.638 1.021 0.606
Cl W Ta
1 1 2
direct
0.500 0.500 0.000
0.500 0.500 0.500
0.000 0.000 0.746
0.000 0.000 0.254

---

Run x
Ta2WCl PBEsol optimized geometry; symmetry = Cmmm, No. 65
1.0
-2.390 -1.773 -0.851
2.823 -2.465 -2.789
0.401 -2.442 3.962
Ta W Cl
2 1 1
direct
0.000 0.000 0.500
0.000 0.500 0.000
0.500 0.000 0.000
0.500 0.500 0.500

---

Energy above the most stable structure, in kJ/mol of atoms: run w 0.0; run x 47.6